1.
The following is a DFT calculation (PBE-GGA) of a relaxed BaTm4Mg5 crystal.

Unit cell a=3.7907 b=3.7907 c=20.0532 alpha=90.00 beta=90.00 gamma=90.00
Last column: nearest neighbours and their distance in Å.
Fractional positions:
Ba1 0.0000 0.0000 0.0000  8 Mg 3.76, 4 Ba 3.79
Tm1 0.0000 0.0000 0.2265  8 Mg 3.23-3.29
Tm2 0.0000 0.0000 0.4081  8 Mg 3.25
Tm3 0.0000 0.0000 0.5919  8 Mg 3.25
Tm4 0.0000 0.0000 0.7735  8 Mg 3.23-3.29
Mg1 0.5000 0.5000 0.1313  4 Tm 3.29
Mg2 0.5000 0.5000 0.3164  8 Tm 3.23-3.25
Mg3 0.5000 0.5000 0.5000  8 Tm 3.25
Mg4 0.5000 0.5000 0.6836  8 Tm 3.23-3.25
Mg5 0.5000 0.5000 0.8687  4 Tm 3.29

DFT formation energy ... -0.38 eV/f.u.
Symmetry ... No. 123

2.
The following is a DFT calculation (PBE-GGA) of a relaxed Dy4HoTm crystal.

Unit cell a=3.5562 b=10.0870 c=6.1626 alpha=120.62 beta=89.98 gamma=79.89
Last column: nearest neighbours and their distance in Å.
Fractional positions:
Dy1 0.6661 0.6671 0.5557  2 Ho 3.50, 1 Tm 3.50, 9 Dy 3.50-3.56
Dy2 0.3339 0.3329 0.4443  2 Ho 3.50, 1 Tm 3.50, 9 Dy 3.50-3.56
Dy3 0.1662 0.6669 0.0556  2 Tm 3.50, 1 Ho 3.50, 9 Dy 3.50-3.56
Dy4 0.8338 0.3331 0.9444  2 Tm 3.50, 1 Ho 3.50, 9 Dy 3.50-3.56
Ho1 0.0000 0.0000 0.0000  6 Dy 3.50, 2 Ho 3.56, 4 Tm 3.56
Tm1 0.5000 0.0000 0.5000  6 Dy 3.50, 2 Tm 3.56, 4 Ho 3.56

DFT formation energy ... 0.03 eV/f.u.
Symmetry ... No. 12

3.
The following is a DFT calculation (PBE-GGA) of a relaxed PaSnF crystal.

Unit cell a=3.2265 b=3.2265 c=15.8340 alpha=90.00 beta=90.00 gamma=120.00
Last column: nearest neighbours and their distance in Å.
Fractional positions:
Sn1 0.5550 0.1100 0.0000  6 Sn 3.23, 6 Pa 3.30-3.31
Sn2 0.5588 0.1177 0.5000  6 Sn 3.23, 2 F 3.51
F1 0.5548 0.1097 0.2783  3 Pa 2.51
F2 0.5548 0.1097 0.7217  3 Pa 2.51
Pa1 0.2215 0.4431 0.8276  3 F 2.51
Pa2 0.2215 0.4431 0.1724  3 F 2.51

Uncorrected formation energy ... -1.287 eV per atom
Symmetry ... No. 38

4.
The following is a DFT calculation (PBE-GGA) of a relaxed LiDySi2Rh crystal.

Unit cell a=4.0312 b=4.0312 c=5.8215 alpha=110.26 beta=110.26 gamma=90.00
Last column: nearest neighbours and their distance in Å.
Fractional positions:
Li1 0.2500 0.7500 0.5000  4 Si 2.43
Dy1 0.0000 0.0000 0.0000  8 Si 3.09, 4 Li 3.24, 4 Rh 3.24
Si1 0.6166 0.6166 0.2331  1 Si 2.37, 2 Li 2.43, 2 Rh 2.43
Si2 0.3834 0.3834 0.7669  1 Si 2.37, 2 Li 2.43, 2 Rh 2.43
Rh1 0.7500 0.2500 0.5000  4 Si 2.43

Uncorrected formation energy ... -0.782 eV per atom
Symmetry ... No. 119

Number 1: magnetization 0.0 μB/f.u., E -2.8166 eV/atom. Number 2: magnetization 0.0 μB/f.u., E -4.5713 eV/atom. Number 3: magnetization 0.4 μB/f.u., E -6.4106 eV/atom. Number 4: magnetization 0.0 μB/f.u., E -5.7242 eV/atom.